No. 1
The following is a PBE calculation of a relaxed structure of Nd2HgRuC, from the Alexandria database.

The structure in POSCAR format:
```
Nd2HgRuC
1.0
5.2735 0.0000 0.0000
0.0000 5.2735 0.0000
0.0000 0.0000 3.9352
Nd Hg Ru C
2 1 1 1
Direct
0.0000 0.5000 0.0000
0.5000 0.0000 0.0000
0.0000 0.0000 0.5000
0.5000 0.5000 0.5000
0.5000 0.5000 0.0000
```

Computed properties:
The calculation puts the energy of formation from the pure elements at -0.349 eV/atom. Its crystal system is tetragonal. For the volume, the calculation gives 21.9 Å³ per atom. Its space group is P4/mmm (123).


No. 2
The following is a PBE calculation of a relaxed structure of NdSm2HgC, from the Alexandria database.

The structure in POSCAR format:
```
NdSm2HgC
1.0
5.0237 0.0000 0.0000
0.0000 5.0237 0.0000
0.0000 0.0000 5.1191
Nd Sm Hg C
1 2 1 1
Direct
0.0000 0.0000 0.0000
0.0000 0.5000 0.5000
0.5000 0.0000 0.5000
0.5000 0.5000 0.0000
0.0000 0.0000 0.5000
```

Computed properties:
The calculation puts the energy of formation from the pure elements at -0.240 eV/atom. Its crystal system is tetragonal. For the volume, the calculation gives 25.8 Å³ per atom. Its space group is P4/mmm (123).


No. 3
The following is a PBE calculation of a relaxed structure of Nd4SnHgC, from the Alexandria database.

The structure in POSCAR format:
```
Nd4SnHgC
1.0
3.6327 -7.7633 0.0000
3.6327 7.7633 0.0000
0.0000 0.0000 7.2564
Nd Sn Hg C
8 2 2 2
Direct
0.0000 0.5000 0.0000
0.0000 0.5000 0.5000
0.0817 0.9183 0.7500
0.4138 0.5861 0.7500
0.5000 0.0000 0.0000
0.5000 0.0000 0.5000
0.5861 0.4138 0.2500
0.9183 0.0817 0.2500
0.3802 0.6198 0.2500
0.6198 0.3802 0.7500
0.1185 0.8815 0.2500
0.8815 0.1185 0.7500
0.2493 0.7507 0.7500
0.7507 0.2493 0.2500
```

Computed properties:
The calculation puts the energy of formation from the pure elements at -0.382 eV/atom. Its crystal system is orthorhombic. For the volume, the calculation gives 29.2 Å³ per atom. Its space group is Cmcm (63).


No. 4
The following is a PBE calculation of a relaxed structure of Tb2NdHgC, from the Alexandria database.

The structure in POSCAR format:
```
Tb2NdHgC
1.0
4.9179 0.0000 0.0000
0.0000 4.9179 0.0000
0.0000 0.0000 5.1411
Tb Nd Hg C
2 1 1 1
Direct
0.0000 0.5000 0.0000
0.5000 0.0000 0.0000
0.0000 0.0000 0.5000
0.5000 0.5000 0.5000
0.0000 0.0000 0.0000
```

Computed properties:
The calculation puts the energy of formation from the pure elements at -0.295 eV/atom. Its crystal system is tetragonal. For the volume, the calculation gives 24.9 Å³ per atom. Its space group is P4/mmm (123).


No. 5
The following is a PBE calculation of a relaxed structure of Nd3ThHg2C, from the Alexandria database.

The structure in POSCAR format:
```
Nd3ThHg2C
1.0
5.0614 0.0000 0.0000
0.0000 5.1663 0.0000
0.0000 0.0000 15.3672
Nd Th Hg C
6 2 4 2
Direct
0.0000 0.0000 0.0000
0.0000 0.5000 0.1698
0.0000 0.5000 0.8302
0.5000 0.0000 0.3302
0.5000 0.0000 0.6698
0.5000 0.5000 0.5000
0.0000 0.0000 0.5000
0.5000 0.5000 0.0000
0.0000 0.5000 0.3699
0.0000 0.5000 0.6301
0.5000 0.0000 0.1301
0.5000 0.0000 0.8699
0.0000 0.5000 0.0000
0.5000 0.0000 0.5000
```

Computed properties:
The calculation puts the energy of formation from the pure elements at -0.274 eV/atom. Its crystal system is orthorhombic. For the volume, the calculation gives 28.7 Å³ per atom. Its space group is Immm (71).


No. 6
The following is a PBE calculation of a relaxed structure of Nd2TmHgC, from the Alexandria database.

The structure in POSCAR format:
```
Nd2TmHgC
1.0
5.1647 0.0000 0.0000
0.0000 5.1647 0.0000
0.0000 0.0000 4.7499
Nd Tm Hg C
2 1 1 1
Direct
0.0000 0.5000 0.0000
0.5000 0.0000 0.0000
0.0000 0.0000 0.5000
0.5000 0.5000 0.5000
0.0000 0.0000 0.0000
```

Computed properties:
The calculation puts the energy of formation from the pure elements at -0.274 eV/atom. Its crystal system is tetragonal. For the volume, the calculation gives 25.3 Å³ per atom. Its space group is P4/mmm (123).


No. 7
The following is a PBE calculation of a relaxed structure of NdY2HgC, from the Alexandria database.

The structure in POSCAR format:
```
NdY2HgC
1.0
4.8969 0.0000 0.0000
0.0000 4.8969 0.0000
0.0000 0.0000 5.1644
Nd Y Hg C
1 2 1 1
Direct
0.0000 0.0000 0.0000
0.0000 0.5000 0.5000
0.5000 0.0000 0.5000
0.5000 0.5000 0.0000
0.0000 0.0000 0.5000
```

Computed properties:
The calculation puts the energy of formation from the pure elements at -0.329 eV/atom. Its crystal system is tetragonal. For the volume, the calculation gives 24.8 Å³ per atom. Its space group is P4/mmm (123).


No. 8
The following is a PBE calculation of a relaxed structure of NiHg2C, from the Alexandria database.

The structure in POSCAR format:
```
NiHg2C
1.0
9.3503 0.0000 0.0000
0.0000 9.3503 0.0000
0.0000 0.0000 3.6836
Ni Hg C
4 8 4
Direct
0.0000 0.0000 0.0000
0.0000 0.5000 0.2500
0.5000 0.0000 0.7500
0.5000 0.5000 0.5000
0.0007 0.7500 0.6250
0.2500 0.0007 0.3750
0.2500 0.4993 0.8750
0.4993 0.7500 0.1250
0.5007 0.2500 0.1250
0.7500 0.5007 0.8750
0.7500 0.9993 0.3750
0.9993 0.2500 0.6250
0.0000 0.0000 0.5000
0.0000 0.5000 0.7500
0.5000 0.0000 0.2500
0.5000 0.5000 0.0000
```

Computed properties:
The calculation puts the energy of formation from the pure elements at 0.723 eV/atom. Its crystal system is tetragonal. For the volume, the calculation gives 20.1 Å³ per atom. Its space group is I-42d (122).